# Mg2TaTc | Alexandria via LeMat-Bulk | PBE-GGA | optimized geometry
# E_tot = -24.5 eV for the cell shown
# formation energy from the elements = 0.9 eV per formula unit
# excess energy over the best structure of this formula in the dataset = 0.928 eV/f.u.
# crystal system = orthorhombic
# N(E_F) = 2.5 states/eV/cell
data_Mg2TaTc
_chemical_formula_sum 'Mg2 Ta1 Tc1'
_symmetry_space_group_name_H-M 'P m m m'
_symmetry_Int_Tables_number 47
_cell_length_a 2.760
_cell_length_b 4.614
_cell_length_c 5.464
_cell_angle_alpha 90.00
_cell_angle_beta 90.00
_cell_angle_gamma 90.00
loop_
_symmetry_equiv_pos_as_xyz
'x,y,z'
'-x,-y,-z'
'-x,-y,z'
'x,y,-z'
'x,-y,-z'
'-x,y,z'
'-x,y,-z'
'x,-y,z'
loop_
_atom_site_label
_atom_site_type_symbol
_atom_site_fract_x
_atom_site_fract_y
_atom_site_fract_z
Mg1 Mg 0.000 0.000 0.243
Ta1 Ta 0.500 0.500 0.500
Tc1 Tc 0.500 0.500 0.000

# Hg2PbCl | Alexandria via LeMat-Bulk | PBE-GGA | optimized geometry
# E_tot = -21.8 eV for the cell shown
# excess energy over the best structure of this formula in the dataset = 0.088 eV/f.u.
# crystal system = trigonal
# formation energy (no corrections) = -0.274 eV/atom
# N(E_F) = 4.0 states/eV/cell
data_Hg2PbCl
_chemical_formula_sum 'Hg6 Pb3 Cl3'
_symmetry_space_group_name_H-M 'R 3 m'
_symmetry_Int_Tables_number 160
_symmetry_space_group_name_Hall 'R 3 -2"'
_cell_length_a 3.8264
_cell_length_b 3.8264
_cell_length_c 27.8483
_cell_angle_alpha 90.00
_cell_angle_beta 90.00
_cell_angle_gamma 120.00
loop_
_atom_site_label
_atom_site_type_symbol
_atom_site_fract_x
_atom_site_fract_y
_atom_site_fract_z
Hg1 Hg 0.0000 0.0000 0.0000
Hg2 Hg 0.0000 0.0000 0.2563
Pb1 Pb 0.0000 0.0000 0.4994
Cl1 Cl 0.0000 0.0000 0.7600

# IrBr2Cl | Alexandria via LeMat-Bulk | PBE-GGA | optimized geometry
# E_tot = -25.7 eV for the cell shown
# excess energy over the best structure of this formula in the dataset = 1.946 eV/f.u.
# crystal system = orthorhombic
# formation energy (no corrections) = 0.304 eV/atom
# N(E_F) = 6.4 states/eV/cell
data_IrBr2Cl
_chemical_formula_sum 'Ir2 Br4 Cl2'
_symmetry_space_group_name_H-M 'I m m m'
_symmetry_Int_Tables_number 71
_symmetry_space_group_name_Hall '-I 2 2'
_cell_length_a 3.261
_cell_length_b 4.813
_cell_length_c 13.689
_cell_angle_alpha 90.00
_cell_angle_beta 90.00
_cell_angle_gamma 90.00
loop_
_atom_site_label
_atom_site_type_symbol
_atom_site_fract_x
_atom_site_fract_y
_atom_site_fract_z
Ir1 Ir 0.000 0.000 0.000
Br1 Br 0.000 0.500 0.358
Cl1 Cl 0.000 0.000 0.500

# K2AgSnSe4 | Alexandria via LeMat-Bulk | PBE-GGA | optimized geometry
# E_tot = -55.9 eV for the cell shown
# crystal system = tetragonal
# formation energy (no corrections) = -0.618 eV/atom
# N(E_F) = 18.4 states/eV/cell
data_K2AgSnSe4
_chemical_formula_sum 'K4 Ag2 Sn2 Se8'
_symmetry_space_group_name_H-M 'I -4 2 m'
_symmetry_Int_Tables_number 121
_symmetry_space_group_name_Hall 'I -4 2'
_cell_length_a 8.090
_cell_length_b 8.090
_cell_length_c 7.206
_cell_angle_alpha 90.00
_cell_angle_beta 90.00
_cell_angle_gamma 90.00
loop_
_atom_site_label
_atom_site_type_symbol
_atom_site_fract_x
_atom_site_fract_y
_atom_site_fract_z
K1 K 0.000 0.500 0.000
Ag1 Ag 0.000 0.000 0.000
Sn1 Sn 0.000 0.000 0.500
Se1 Se 0.169 0.169 0.265